1.
The following is a DFT calculation (GGA-PBE) of an optimized crystal structure of ScCuAs.

The calculation puts the formation energy at -0.36 eV/atom.

It has space group Fmm2 (No. 42), with a = 4.2435 Å, b = 5.2339 Å, c = 9.5227 Å, α = 90.00°, β = 90.00° and γ = 90.00°. The asymmetric unit holds Sc at (0.0000, 0.0000, 0.0000), Cu at (0.0000, 0.0000, 0.6830) and As at (0.0000, 0.0000, 0.3176).


2.
The following is a DFT calculation (GGA-PBE) of an optimized crystal structure of ScCuAs2.

The calculation puts the formation energy at -0.54 eV/atom.

It has space group Cm (No. 8), with a = 10.0882 Å, b = 3.9879 Å, c = 3.9449 Å, α = 90.00°, β = 105.55° and γ = 90.00°. The asymmetric unit holds Sc at (0.0000, 0.0000, 0.0000), Cu at (0.2822, 0.0000, 0.8063), As at (0.1823, 0.5000, 0.9445) and As at (0.4501, 0.0000, 0.4675).


3.
The following is a DFT calculation (GGA-PBE) of an optimized crystal structure of ScCuAs2.

The calculation puts the formation energy at -0.46 eV/atom.

It has space group C2/m (No. 12), with a = 6.0979 Å, b = 6.0925 Å, c = 3.6751 Å, α = 90.00°, β = 90.16° and γ = 90.00°. The asymmetric unit holds Sc at (0.0000, 0.0000, 0.0000), Cu at (0.0000, 0.5000, 0.0000) and As at (0.2500, 0.2500, 0.5000).


4.
The following is a DFT calculation (GGA-PBE) of an optimized crystal structure of ScCu3As.

The calculation puts the formation energy at 1.20 eV/atom. The calculation puts the excess energy over the best structure of this formula in the dataset at 926 meV/atom.

It has space group Pm-3m (No. 221), with a = 4.7223 Å, b = 4.7223 Å, c = 4.7223 Å, α = 90.00°, β = 90.00° and γ = 90.00°. The asymmetric unit holds Sc at (0.0000, 0.0000, 0.0000), Cu at (0.0000, 0.0000, 0.5000) and As at (0.5000, 0.5000, 0.5000).